# Pr3Cr5N12 | the Alexandria database | GGA-PBE | relaxed
# VASP energy: -8.699 eV/atom
data_Pr3Cr5N12
_chemical_formula_sum 'Pr24 Cr40 N96'
_cell_length_a 12.545
_cell_length_b 12.545
_cell_length_c 12.545
_cell_angle_alpha 90.00
_cell_angle_beta 90.00
_cell_angle_gamma 90.00
_space_group_name_H-M_alt 'I a -3 d'
_space_group_IT_number 230
_space_group_name_Hall '-I 4bd 2c 3'
loop_
_atom_site_label
_atom_site_fract_x
_atom_site_fract_y
_atom_site_fract_z
_atom_site_occupancy
Pr1 0.000 0.250 0.125 1
Cr1 0.000 0.000 0.000 1
Cr2 0.000 0.250 0.375 1
N1 0.039 0.042 0.648 1

# Pr3CrN5 | the Alexandria database | GGA-PBE | relaxed
# VASP energy: -8.393 eV/atom
data_Pr3CrN5
_chemical_formula_sum 'Pr12 Cr4 N20'
_cell_length_a 6.809
_cell_length_b 6.809
_cell_length_c 11.214
_cell_angle_alpha 90.00
_cell_angle_beta 90.00
_cell_angle_gamma 90.00
_space_group_name_H-M_alt 'I 4/m c m'
_space_group_IT_number 140
_space_group_name_Hall '-I 4 2c'
loop_
_atom_site_label
_atom_site_fract_x
_atom_site_fract_y
_atom_site_fract_z
_atom_site_occupancy
Pr1 0.000 0.000 0.250 1
Pr2 0.174 0.326 0.000 1
Cr1 0.000 0.500 0.250 1
N1 0.000 0.000 0.000 1
N2 0.144 0.356 0.344 1

# PrCrN3 | the Alexandria database | GGA-PBE | relaxed
# VASP energy: -8.642 eV/atom
data_PrCrN3
_chemical_formula_sum 'Pr8 Cr8 N24'
_cell_length_a 10.306
_cell_length_b 10.029
_cell_length_c 5.985
_cell_angle_alpha 90.00
_cell_angle_beta 106.87
_cell_angle_gamma 90.00
_space_group_name_H-M_alt 'C 1 2/c 1'
_space_group_IT_number 15
loop_
_space_group_symop_operation_xyz
'x,y,z'
'-x,-y,-z'
'-x,y,-z+1/2'
'x,-y,z+1/2'
'x+1/2,y+1/2,z'
'-x+1/2,-y+1/2,-z'
'-x+1/2,y+1/2,-z+1/2'
'x+1/2,-y+1/2,z+1/2'
loop_
_atom_site_label
_atom_site_fract_x
_atom_site_fract_y
_atom_site_fract_z
_atom_site_occupancy
Pr1 0.000 0.096 0.250 1
Pr2 0.000 0.336 0.750 1
Cr1 0.213 0.413 0.255 1
N1 0.117 0.114 0.663 1
N2 0.134 0.272 0.156 1
N3 0.157 0.476 0.506 1

# PrCrN3 | the Alexandria database | GGA-PBE | relaxed
# VASP energy: -8.411 eV/atom
data_PrCrN3
_chemical_formula_sum 'Pr1 Cr1 N3'
_cell_length_a 3.829
_cell_length_b 3.829
_cell_length_c 3.829
_cell_angle_alpha 90.00
_cell_angle_beta 90.00
_cell_angle_gamma 90.00
_space_group_name_H-M_alt 'P m -3 m'
_space_group_IT_number 221
_space_group_name_Hall '-P 4 2 3'
loop_
_atom_site_label
_atom_site_fract_x
_atom_site_fract_y
_atom_site_fract_z
_atom_site_occupancy
Pr1 0.000 0.000 0.000 1
Cr1 0.500 0.500 0.500 1
N1 0.000 0.500 0.500 1

# Pr3Cr2N7 | the Alexandria database | GGA-PBE | relaxed
# VASP energy: -8.233 eV/atom
data_Pr3Cr2N7
_chemical_formula_sum 'Pr6 Cr4 N14'
_cell_length_a 3.809
_cell_length_b 21.384
_cell_length_c 3.680
_cell_angle_alpha 90.00
_cell_angle_beta 90.00
_cell_angle_gamma 90.00
_space_group_name_H-M_alt 'C m m m'
_space_group_IT_number 65
_space_group_name_Hall '-C 2 2'
loop_
_atom_site_label
_atom_site_fract_x
_atom_site_fract_y
_atom_site_fract_z
_atom_site_occupancy
Pr1 0.000 0.000 0.000 1
Pr2 0.000 0.178 0.000 1
Cr1 0.000 0.407 0.500 1
N1 0.000 0.093 0.500 1
N2 0.000 0.309 0.500 1
N3 0.000 0.405 0.000 1
N4 0.000 0.500 0.500 1

# Pr2CrN4 | the Alexandria database | GGA-PBE | relaxed
# VASP energy: -8.570 eV/atom
# Relative energy among the computed polymorphs: 0.0 meV per atom
data_Pr2CrN4
_chemical_formula_sum 'Pr8 Cr4 N16'
_cell_length_a 7.260
_cell_length_b 5.514
_cell_length_c 10.025
_cell_angle_alpha 90.00
_cell_angle_beta 90.00
_cell_angle_gamma 90.00
_space_group_name_H-M_alt 'P n m a'
_space_group_IT_number 62
loop_
_space_group_symop_operation_xyz
'x,y,z'
'-x,-y,-z'
'-x+1/2,-y,z+1/2'
'x+1/2,y,-z+1/2'
'x+1/2,-y+1/2,-z+1/2'
'-x+1/2,y+1/2,z+1/2'
'-x,y+1/2,-z'
'x,-y+1/2,z'
loop_
_atom_site_label
_atom_site_fract_x
_atom_site_fract_y
_atom_site_fract_z
_atom_site_occupancy
Pr1 0.017 0.250 0.188 1
Pr2 0.152 0.750 0.427 1
Cr1 0.226 0.750 0.074 1
N1 0.013 0.250 0.913 1
N2 0.175 0.505 0.643 1
N3 0.206 0.250 0.406 1

Listing ΔE_f (raw) for the structures above in their given order: -0.58; -1.11; -0.77; -0.54; -0.58; -1.07 eV per atom.